[1]
Material: CaCdCuNi2
Method: DFT, GGA-PBEsol
State: optimized geometry

For the formation energy, the calculation gives 1309 meV/atom.

Geometry as CIF:
```
data_CaCdCuNi2
_cell_length_a 4.458
_cell_length_b 4.458
_cell_length_c 4.704
_cell_angle_alpha 90.00
_cell_angle_beta 90.00
_cell_angle_gamma 90.00
_space_group_name_H-M_alt 'P 4/m m m'
_space_group_IT_number 123
_space_group_name_Hall '-P 4 2'
loop_
_atom_site_label
_atom_site_type_symbol
_atom_site_fract_x
_atom_site_fract_y
_atom_site_fract_z
Ca1 Ca 0.000 0.000 0.000
Cd1 Cd 0.500 0.500 0.500
Cu1 Cu 0.000 0.000 0.500
Ni1 Ni 0.000 0.500 0.000
```

[2]
Material: CaYCd2Cu
Method: DFT, GGA-PBEsol
State: optimized geometry

For the formation energy, the calculation gives 1206 meV/atom.

Geometry as CIF:
```
data_CaYCd2Cu
_cell_length_a 5.591
_cell_length_b 5.591
_cell_length_c 6.167
_cell_angle_alpha 90.00
_cell_angle_beta 90.00
_cell_angle_gamma 90.00
_space_group_name_H-M_alt 'P 4/m m m'
_space_group_IT_number 123
_space_group_name_Hall '-P 4 2'
loop_
_atom_site_label
_atom_site_type_symbol
_atom_site_fract_x
_atom_site_fract_y
_atom_site_fract_z
Ca1 Ca 0.000 0.000 0.000
Y1 Y 0.000 0.000 0.500
Cd1 Cd 0.000 0.500 0.500
Cu1 Cu 0.500 0.500 0.000
```

[3]
Material: CaCdN2F
Method: DFT, GGA-PBEsol
State: optimized geometry

The uncorrected formation energy comes out at 0.3585 eV/atom. For the excess energy over the best structure of this formula in the dataset, the calculation gives 0.327 eV/atom.

Geometry as CIF:
```
data_CaCdN2F
_cell_length_a 4.572
_cell_length_b 4.572
_cell_length_c 4.127
_cell_angle_alpha 90.00
_cell_angle_beta 90.00
_cell_angle_gamma 90.00
_space_group_name_H-M_alt 'P 4/m m m'
_space_group_IT_number 123
_space_group_name_Hall '-P 4 2'
loop_
_atom_site_label
_atom_site_type_symbol
_atom_site_fract_x
_atom_site_fract_y
_atom_site_fract_z
Ca1 Ca 0.000 0.000 0.000
Cd1 Cd 0.500 0.500 0.500
N1 N 0.000 0.500 0.000
F1 F 0.000 0.000 0.500
```

[4]
Material: CaCdN2F
Method: DFT, GGA-PBEsol
State: optimized geometry

The uncorrected formation energy comes out at 0.0320 eV/atom. For the excess energy over the best structure of this formula in the dataset, the calculation gives 0.000 eV/atom.

Geometry as CIF:
```
data_CaCdN2F
_cell_length_a 4.113
_cell_length_b 4.113
_cell_length_c 4.438
_cell_angle_alpha 90.00
_cell_angle_beta 90.00
_cell_angle_gamma 90.00
_space_group_name_H-M_alt 'P 4/m m m'
_space_group_IT_number 123
_space_group_name_Hall '-P 4 2'
loop_
_atom_site_label
_atom_site_type_symbol
_atom_site_fract_x
_atom_site_fract_y
_atom_site_fract_z
Ca1 Ca 0.000 0.000 0.000
Cd1 Cd 0.500 0.500 0.500
N1 N 0.000 0.500 0.500
F1 F 0.500 0.500 0.000
```